No. 1
! PBE-GGA LaSi3Os, optimized geometry; values from VASP
&SYSTEM
  ibrav = 0, nat = 10, ntyp = 3
/
ATOMIC_SPECIES
La 138.91 La.upf
Si 28.09 Si.upf
Os 190.23 Os.upf
CELL_PARAMETERS angstrom
6.0641 0.0000 0.0000
0.0000 6.0648 0.0000
-3.0208 0.0000 5.0089
ATOMIC_POSITIONS angstrom
La 0.0000 0.0000 0.0000
La 3.0321 3.0324 0.0000
Si 0.0040 3.0324 0.7964
Si 1.5243 1.5166 2.3756
Si 1.5243 4.5482 2.3756
Si 3.0361 0.0000 0.7964
Si 4.5564 1.5158 2.3756
Si 4.5564 4.5490 2.3756
Os 0.0067 0.0000 3.4381
Os 3.0388 3.0324 3.4381
! Final energy = -71.4 eV for the cell shown
! Space-group type = No. 8
! Formation energy from raw total energies = -0.66 eV per atom
! V = 18.42 Å³ per atom



No. 2
! PBE-GGA LaSi2Os, optimized geometry; values from VASP
&SYSTEM
  ibrav = 0, nat = 8, ntyp = 3
/
ATOMIC_SPECIES
La 138.91 La.upf
Si 28.09 Si.upf
Os 190.23 Os.upf
CELL_PARAMETERS angstrom
3.0795 0.0000 0.0000
0.0000 5.6853 0.0000
0.0000 0.0000 9.2053
ATOMIC_POSITIONS angstrom
La 0.0000 0.0000 0.0000
La 1.5397 2.8427 4.6026
Si 0.0000 2.8427 1.8792
Si 0.0000 2.8427 7.3260
Si 1.5397 0.0000 2.7234
Si 1.5397 0.0000 6.4819
Os 0.0000 0.0000 4.6026
Os 1.5397 2.8427 0.0000
! Final energy = -54.8 eV for the cell shown
! Space-group type = No. 71
! Formation energy from raw total energies = -0.10 eV per atom
! V = 20.15 Å³ per atom



Q: Look up the final energy of the second one.
A: -54.8 eV for the cell shown



Q: What is the formula in the first record?
A: LaSi3Os



What did the second record say?
! PBE-GGA LaSi2Os, optimized geometry; values from VASP
&SYSTEM
  ibrav = 0, nat = 8, ntyp = 3
/
ATOMIC_SPECIES
La 138.91 La.upf
Si 28.09 Si.upf
Os 190.23 Os.upf
CELL_PARAMETERS angstrom
3.0795 0.0000 0.0000
0.0000 5.6853 0.0000
0.0000 0.0000 9.2053
ATOMIC_POSITIONS angstrom
La 0.0000 0.0000 0.0000
La 1.5397 2.8427 4.6026
Si 0.0000 2.8427 1.8792
Si 0.0000 2.8427 7.3260
Si 1.5397 0.0000 2.7234
Si 1.5397 0.0000 6.4819
Os 0.0000 0.0000 4.6026
Os 1.5397 2.8427 0.0000
! Final energy = -54.8 eV for the cell shown
! Space-group type = No. 71
! Formation energy from raw total energies = -0.10 eV per atom
! V = 20.15 Å³ per atom